Below is a relaxed CeSiRh2 crystal, with properties calculated at the PBE-GGA level.

The structure in POSCAR format:
```
CeSiRh2
1.0
1.985 -9.171 0.000
1.985 9.171 0.000
0.000 0.000 4.024
Ce Si Rh
2 2 4
direct
0.099 0.901 0.750
0.901 0.099 0.250
0.321 0.679 0.750
0.679 0.321 0.250
0.250 0.750 0.250
0.450 0.550 0.750
0.550 0.450 0.250
0.750 0.250 0.750
```

Results
**Total DFT energy (no corrections)**: -7.5181 eV/atom
**Size of the total moment**: 0.86 μB/cell